# AsPd6, optimized geometry, DFT GGA-PBE
data_AsPd6
_chemical_formula_sum 'As4 Pd24'
_cell_length_a 5.202
_cell_length_b 8.830
_cell_length_c 9.897
_cell_angle_alpha 90.00
_cell_angle_beta 90.00
_cell_angle_gamma 90.00
_symmetry_space_group_name_H-M 'P 1'
_symmetry_Int_Tables_number 1
_symmetry_space_group_name_Hall 'P 1'
loop_
_atom_site_label
_atom_site_type_symbol
_atom_site_fract_x
_atom_site_fract_y
_atom_site_fract_z
As1 As 0.077 0.250 0.639
As2 As 0.923 0.750 0.361
As3 As 0.577 0.750 0.861
As4 As 0.423 0.250 0.139
Pd1 Pd 0.700 0.250 0.500
Pd2 Pd 0.300 0.750 0.500
Pd3 Pd 0.200 0.750 0.000
Pd4 Pd 0.800 0.250 0.000
Pd5 Pd 0.462 0.250 0.766
Pd6 Pd 0.538 0.750 0.234
Pd7 Pd 0.962 0.750 0.734
Pd8 Pd 0.038 0.250 0.266
Pd9 Pd 0.249 0.426 0.478
Pd10 Pd 0.751 0.574 0.522
Pd11 Pd 0.749 0.574 0.022
Pd12 Pd 0.751 0.926 0.522
Pd13 Pd 0.251 0.426 0.978
Pd14 Pd 0.249 0.074 0.478
Pd15 Pd 0.251 0.074 0.978
Pd16 Pd 0.749 0.926 0.022
Pd17 Pd 0.879 0.441 0.773
Pd18 Pd 0.121 0.559 0.227
Pd19 Pd 0.379 0.559 0.727
Pd20 Pd 0.121 0.941 0.227
Pd21 Pd 0.621 0.441 0.273
Pd22 Pd 0.879 0.059 0.773
Pd23 Pd 0.621 0.059 0.273
Pd24 Pd 0.379 0.941 0.727
# - symmetry = Pnma, No. 62
# - formation energy from the elements (eV per atom) = -0.124

***

# NdGe3Rh, optimized geometry, DFT GGA-PBE
data_NdGe3Rh
_chemical_formula_sum 'Nd2 Ge6 Rh2'
_cell_length_a 5.859
_cell_length_b 5.741
_cell_length_c 6.080
_cell_angle_alpha 90.00
_cell_angle_beta 90.00
_cell_angle_gamma 90.00
_symmetry_space_group_name_H-M 'P 1'
_symmetry_Int_Tables_number 1
_symmetry_space_group_name_Hall 'P 1'
loop_
_atom_site_label
_atom_site_type_symbol
_atom_site_fract_x
_atom_site_fract_y
_atom_site_fract_z
Nd1 Nd 0.422 0.318 0.701
Nd2 Nd 0.922 0.034 0.201
Ge1 Ge 0.373 0.263 0.201
Ge2 Ge 0.462 0.852 0.969
Ge3 Ge 0.962 0.500 0.469
Ge4 Ge 0.873 0.090 0.701
Ge5 Ge 0.962 0.500 0.933
Ge6 Ge 0.462 0.852 0.433
Rh1 Rh 0.159 0.793 0.701
Rh2 Rh 0.659 0.560 0.201
# - symmetry = Pmn2_1, No. 31
# - formation energy from the elements (eV per atom) = -0.625

***

# TlCu, optimized geometry, DFT GGA-PBE
data_TlCu
_chemical_formula_sum 'Tl2 Cu2'
_cell_length_a 4.912
_cell_length_b 4.912
_cell_length_c 4.912
_cell_angle_alpha 60.00
_cell_angle_beta 60.00
_cell_angle_gamma 60.00
_symmetry_space_group_name_H-M 'P 1'
_symmetry_Int_Tables_number 1
_symmetry_space_group_name_Hall 'P 1'
loop_
_atom_site_label
_atom_site_type_symbol
_atom_site_fract_x
_atom_site_fract_y
_atom_site_fract_z
Cu1 Cu 0.000 0.000 0.000
Cu2 Cu 0.250 0.250 0.250
Tl1 Tl 0.500 0.500 0.500
Tl2 Tl 0.750 0.750 0.750
# - symmetry = Fd-3m, No. 227
# - formation energy from the elements (eV per atom) = 0.488

***

# Rb3In2Pb3, optimized geometry, DFT GGA-PBE
data_Rb3In2Pb3
_chemical_formula_sum 'Rb6 In4 Pb6'
_cell_length_a 5.959
_cell_length_b 6.514
_cell_length_c 17.936
_cell_angle_alpha 90.00
_cell_angle_beta 90.00
_cell_angle_gamma 117.22
_symmetry_space_group_name_H-M 'P 1'
_symmetry_Int_Tables_number 1
_symmetry_space_group_name_Hall 'P 1'
loop_
_atom_site_label
_atom_site_type_symbol
_atom_site_fract_x
_atom_site_fract_y
_atom_site_fract_z
Rb1 Rb 0.660 0.320 0.038
Rb2 Rb 0.340 0.680 0.538
Rb3 Rb 0.660 0.320 0.462
Rb4 Rb 0.340 0.680 0.962
Rb5 Rb 0.516 0.033 0.250
Rb6 Rb 0.484 0.967 0.750
In1 In 0.774 0.547 0.666
In2 In 0.226 0.453 0.166
In3 In 0.774 0.547 0.834
In4 In 0.226 0.453 0.334
Pb1 Pb 0.975 0.950 0.099
Pb2 Pb 0.025 0.050 0.599
Pb3 Pb 0.975 0.950 0.401
Pb4 Pb 0.025 0.050 0.901
Pb5 Pb 0.823 0.647 0.250
Pb6 Pb 0.177 0.353 0.750
# - symmetry = Cmcm, No. 63
# - formation energy from the elements (eV per atom) = -0.038

***

# Sm2GeAs3Rh4, optimized geometry, DFT GGA-PBE
data_Sm2GeAs3Rh4
_chemical_formula_sum 'Sm2 Ge1 As3 Rh4'
_cell_length_a 4.230
_cell_length_b 4.230
_cell_length_c 10.169
_cell_angle_alpha 90.00
_cell_angle_beta 90.00
_cell_angle_gamma 90.00
_symmetry_space_group_name_H-M 'P 1'
_symmetry_Int_Tables_number 1
_symmetry_space_group_name_Hall 'P 1'
loop_
_atom_site_label
_atom_site_type_symbol
_atom_site_fract_x
_atom_site_fract_y
_atom_site_fract_z
Sm1 Sm 0.500 0.000 0.253
Sm2 Sm 0.000 0.500 0.747
Ge1 Ge 0.500 0.500 0.500
As1 As 0.000 0.000 0.500
As2 As 0.500 0.000 0.863
As3 As 0.000 0.500 0.137
Rh1 Rh 0.500 0.500 0.000
Rh2 Rh 0.000 0.000 0.000
Rh3 Rh 0.500 0.000 0.626
Rh4 Rh 0.000 0.500 0.374
# - symmetry = P-4m2, No. 115
# - formation energy from the elements (eV per atom) = -0.910

***

# Tm6ScCd5, optimized geometry, DFT GGA-PBE
data_Tm6ScCd5
_chemical_formula_sum 'Tm6 Sc1 Cd5'
_cell_length_a 5.183
_cell_length_b 7.548
_cell_length_c 9.104
_cell_angle_alpha 114.49
_cell_angle_beta 106.54
_cell_angle_gamma 90.00
_symmetry_space_group_name_H-M 'P 1'
_symmetry_Int_Tables_number 1
_symmetry_space_group_name_Hall 'P 1'
loop_
_atom_site_label
_atom_site_type_symbol
_atom_site_fract_x
_atom_site_fract_y
_atom_site_fract_z
Sc1 Sc 0.000 0.000 0.000
Tm1 Tm 0.831 0.580 0.662
Tm2 Tm 0.831 0.083 0.662
Tm3 Tm 0.500 0.741 0.000
Tm4 Tm 0.500 0.259 0.000
Tm5 Tm 0.169 0.917 0.338
Tm6 Tm 0.169 0.420 0.338
Cd1 Cd 0.655 0.155 0.309
Cd2 Cd 0.334 0.334 0.667
Cd3 Cd 0.000 0.500 0.000
Cd4 Cd 0.666 0.666 0.333
Cd5 Cd 0.345 0.845 0.691
# - symmetry = Immm, No. 71
# - formation energy from the elements (eV per atom) = -0.223

***

# TmTiAg2, optimized geometry, DFT GGA-PBE
data_TmTiAg2
_chemical_formula_sum 'Tm1 Ti1 Ag2'
_cell_length_a 3.451
_cell_length_b 3.451
_cell_length_c 6.819
_cell_angle_alpha 90.00
_cell_angle_beta 90.00
_cell_angle_gamma 90.00
_symmetry_space_group_name_H-M 'P 1'
_symmetry_Int_Tables_number 1
_symmetry_space_group_name_Hall 'P 1'
loop_
_atom_site_label
_atom_site_type_symbol
_atom_site_fract_x
_atom_site_fract_y
_atom_site_fract_z
Tm1 Tm 0.500 0.500 0.500
Ag1 Ag 0.000 0.000 0.775
Ag2 Ag 0.000 0.000 0.225
Ti1 Ti 0.500 0.500 0.000
# - symmetry = P4/mmm, No. 123
# - formation energy from the elements (eV per atom) = -0.057
# - E above lowest polymorph (meV/atom) = 0

***

# BeTcPHCl, optimized geometry, DFT GGA-PBE
data_BeTcPHCl
_chemical_formula_sum 'Be1 Tc1 P1 H1 Cl1'
_cell_length_a 3.110
_cell_length_b 3.277
_cell_length_c 6.423
_cell_angle_alpha 90.00
_cell_angle_beta 95.34
_cell_angle_gamma 90.00
_symmetry_space_group_name_H-M 'P 1'
_symmetry_Int_Tables_number 1
_symmetry_space_group_name_Hall 'P 1'
loop_
_atom_site_label
_atom_site_type_symbol
_atom_site_fract_x
_atom_site_fract_y
_atom_site_fract_z
Be1 Be 0.652 0.500 0.719
Tc1 Tc 0.935 0.500 0.072
P1 P 0.414 0.000 0.953
H1 H 0.411 0.000 0.719
Cl1 Cl 0.042 0.500 0.487
# - symmetry = Pm, No. 6
# - E above lowest polymorph (meV/atom) = 203

***

Number 1: D(E_F) 14.91 states/eV per cell. Number 2: D(E_F) 5.02 states/eV per cell. Number 3: D(E_F) 2.19 states/eV per cell. Number 4: D(E_F) 10.13 states/eV per cell. Number 5: D(E_F) 6.27 states/eV per cell. Number 6: D(E_F) 13.02 states/eV per cell. Number 7: D(E_F) 2.87 states/eV per cell. Number 8: D(E_F) 0.05 states/eV per cell.